A plane-wave DFT calculation with PBE was carried out for TiRh2Pb after structural relaxation.

Unit cell a=7.159 b=7.159 c=5.835 alpha=52.16 beta=52.16 gamma=90.00
Fractional positions:
Rh 0.577 0.125 0.250
Rh 0.173 0.625 0.250
Rh 0.375 0.423 0.750
Rh 0.875 0.827 0.750
Ti 0.250 0.750 0.500
Ti 0.500 0.500 0.000
Pb 0.000 0.000 0.000
Pb 0.750 0.250 0.500

Electronic total energy   -6.679 eV/atom
Symmetry   I-42d, No. 122
Calculated density   10.29 Mg/m³
Size of the total moment   0.00 μB per cell
Energy of formation from the pure elements   -0.10 eV/atom
Density of states at the Fermi level   0.361 states/eV/atom

=====

A plane-wave DFT calculation with PBE was carried out for Ti8RhPb2 after structural relaxation.

Unit cell a=4.787 b=5.375 c=8.049 alpha=94.43 beta=107.30 gamma=90.00
Fractional positions:
Pb 0.153 0.809 0.307
Pb 0.847 0.191 0.693
Ti 0.655 0.120 0.309
Ti 0.345 0.880 0.691
Ti 0.235 0.346 0.470
Ti 0.418 0.438 0.835
Ti 0.955 0.724 0.911
Ti 0.582 0.562 0.165
Ti 0.765 0.654 0.530
Ti 0.045 0.276 0.089
Rh 0.500 0.000 0.000

Electronic total energy   -7.238 eV/atom
Symmetry   C2/m, No. 12
Calculated density   7.59 Mg/m³
Size of the total moment   0.81 μB per cell
Energy of formation from the pure elements   -0.15 eV/atom
Density of states at the Fermi level   0.864 states/eV/atom

=====

A plane-wave DFT calculation with PBE was carried out for Ti2TlRhPb after structural relaxation.

Unit cell a=4.809 b=5.149 c=4.809 alpha=90.00 beta=90.00 gamma=90.00
Fractional positions:
Rh 0.000 0.000 0.000
Ti 0.500 0.000 0.000
Ti 0.000 0.000 0.500
Tl 0.000 0.500 0.000
Pb 0.500 0.500 0.500

Electronic total energy   -5.572 eV/atom
Symmetry   P4/mmm, No. 123
Calculated density   8.51 Mg/m³
Size of the total moment   0.00 μB per cell
Energy of formation from the pure elements   0.27 eV/atom
Density of states at the Fermi level   0.847 states/eV/atom

=====

A plane-wave DFT calculation with PBE was carried out for TiVRhPb2 after structural relaxation.

Unit cell a=5.280 b=4.232 c=5.280 alpha=90.00 beta=90.00 gamma=90.00
Fractional positions:
Rh 0.500 0.500 0.500
V 0.000 0.500 0.000
Ti 0.000 0.000 0.000
Pb 0.500 0.000 0.000
Pb 0.000 0.000 0.500

Electronic total energy   -5.327 eV/atom
Symmetry   P4/mmm, No. 123
Calculated density   8.67 Mg/m³
Size of the total moment   0.99 μB per cell
Energy of formation from the pure elements   1.03 eV/atom
Density of states at the Fermi level   0.845 states/eV/atom

=====

A plane-wave DFT calculation with PBE was carried out for TlRhPb2 after structural relaxation.

Unit cell a=3.595 b=3.595 c=9.672 alpha=79.29 beta=79.29 gamma=60.00
Fractional positions:
Pb 0.065 0.065 0.804
Pb 0.267 0.267 0.198
Rh 0.666 0.666 0.001
Tl 0.501 0.501 0.497

Electronic total energy   -4.242 eV/atom
Symmetry   R3m, No. 160
Calculated density   11.34 Mg/m³
Size of the total moment   0.00 μB per cell
Energy of formation from the pure elements   0.04 eV/atom
Density of states at the Fermi level   0.676 states/eV/atom

=====

A plane-wave DFT calculation with PBE was carried out for TlRhPb2 after structural relaxation.

Unit cell a=3.541 b=5.147 c=5.745 alpha=71.39 beta=90.00 gamma=90.00
Fractional positions:
Rh 0.500 0.500 0.000
Tl 0.000 0.500 0.500
Pb 0.500 0.000 0.500
Pb 0.000 0.000 0.000

Electronic total energy   -3.958 eV/atom
Symmetry   P2/m, No. 10
Calculated density   12.07 Mg/m³
Size of the total moment   0.00 μB per cell
Energy of formation from the pure elements   0.33 eV/atom
Density of states at the Fermi level   0.777 states/eV/atom

=====

A plane-wave DFT calculation with PBE was carried out for TlRhPb2 after structural relaxation.

Unit cell a=5.132 b=5.132 c=9.666 alpha=74.61 beta=74.61 gamma=90.00
Fractional positions:
Pb 0.194 0.625 0.250
Pb 0.875 0.806 0.750
Pb 0.556 0.125 0.250
Pb 0.375 0.444 0.750
Tl 0.750 0.250 0.500
Tl 0.000 0.000 0.000
Rh 0.250 0.750 0.500
Rh 0.500 0.500 0.000

Electronic total energy   -3.937 eV/atom
Symmetry   I-42d, No. 122
Calculated density   10.16 Mg/m³
Size of the total moment   0.00 μB per cell
Energy of formation from the pure elements   0.35 eV/atom
Density of states at the Fermi level   0.573 states/eV/atom

=====

A plane-wave DFT calculation with PBE was carried out for Tl2RhPb6 after structural relaxation.

Unit cell a=3.691 b=9.050 c=9.071 alpha=119.92 beta=90.00 gamma=90.00
Fractional positions:
Pb 0.500 0.643 0.000
Pb 0.000 0.241 0.000
Pb 0.000 0.999 0.240
Pb 0.500 0.356 0.356
Pb 0.000 0.760 0.760
Pb 0.500 0.000 0.644
Rh 0.500 0.000 0.000
Tl 0.000 0.667 0.334
Tl 0.000 0.333 0.666

Electronic total energy   -3.835 eV/atom
Symmetry   Amm2, No. 38
Calculated density   11.10 Mg/m³
Size of the total moment   0.00 μB per cell
Energy of formation from the pure elements   -0.02 eV/atom
Density of states at the Fermi level   0.574 states/eV/atom